# 1
Entry from the Alexandria database: a geometry-optimized Sm2Th structure (PBE-GGA).

Unit cell a=5.709 b=5.709 c=3.507 alpha=90.00 beta=90.00 gamma=120.00
Fractional coordinates of all 3 atoms:
Sm1 0.333 0.667 0.000
Sm2 0.667 0.333 0.000
Th1 0.000 0.000 0.500

As for the density of states at the Fermi level: 4.12 states/eV/cell. The calculation puts the formation energy at 75 meV per atom. As for the electronic total energy: -5.5445 eV/atom. The energy above the lowest structure with this stoichiometry is 68 meV per atom.



# 2
Entry from the Alexandria database: a geometry-optimized Sm8Th3 structure (PBE-GGA).

Unit cell a=7.811 b=7.811 c=7.811 alpha=107.78 beta=107.78 gamma=107.78
Fractional coordinates of all 11 atoms:
Sm1 0.188 0.515 0.675
Sm2 0.235 0.235 0.235
Sm3 0.325 0.812 0.485
Sm4 0.485 0.325 0.812
Sm5 0.515 0.675 0.188
Sm6 0.675 0.188 0.515
Sm7 0.765 0.765 0.765
Sm8 0.812 0.485 0.325
Th1 0.000 0.000 0.500
Th2 0.000 0.500 0.000
Th3 0.500 0.000 0.000

As for the density of states at the Fermi level: 18.36 states/eV/cell. The calculation puts the formation energy at 465 meV per atom. As for the electronic total energy: -4.9905 eV/atom.